Compound: FeCoSb2
Source: Alexandria via LeMat-Bulk
Functional: PBE
Structure: relaxed

Properties
* DOS at the Fermi energy: 1.135 states/eV per atom
* SG: No. 12
* formation energy (no corrections): 0.290 eV/atom
* E: -5.664 eV per atom
* V: 70 Å³/cell

Structure (extended XYZ):
```
4
Lattice="-0.9625 -4.0939 -0.6729 0.9765 -2.8961 -2.9663 4.3706 -2.7123 2.2784" Properties=species:S:1:pos:R:3 pbc="T T T"
Co 3.2885 -7.2767 -1.0206
Fe 1.0962 -2.4256 -0.3402
Sb 4.3612 -2.7165 2.2683
Sb 2.2017 -4.8470 -0.6703
```

Compound: Sr2Zn2Rh
Source: Alexandria via LeMat-Bulk
Functional: PBE
Structure: relaxed

Properties
* energy of formation from the pure elements: -341.1 meV per atom
* DOS at the Fermi energy: 0.545 states/eV per atom
* SG: No. 12
* E: -2.994 eV per atom
* V: 261 Å³/cell

Structure (extended XYZ):
```
10
Lattice="-1.3580 3.6107 2.0729 -5.2050 2.0881 -2.4212 -6.8912 -4.0373 7.1438" Properties=species:S:1:pos:R:3 pbc="T T T"
Sr -2.7085 1.1444 0.8581
Sr -6.9849 -0.1499 4.9370
Sr -10.7458 0.5170 5.9374
Sr -6.4694 1.8113 1.8585
Zn -8.0760 0.2914 8.0793
Zn -4.2245 -0.7482 3.1616
Zn -5.3782 1.3700 -1.2838
Zn -9.2297 2.4096 3.6339
Rh -3.7280 1.7087 3.8332
Rh -9.7262 -0.0472 2.9623
```

Compound: Li4Np3BeS8
Source: Alexandria via LeMat-Bulk
Functional: PBE
Structure: relaxed

Properties
* DOS at the Fermi energy: 1.834 states/eV per atom
* SG: No. 12
* formation energy (no corrections): -1.194 eV/atom
* E: -6.396 eV per atom
* V: 312 Å³/cell

Structure (extended XYZ):
```
16
Lattice="7.6010 0.0000 0.0000 0.0000 7.5303 -0.1054 -3.8005 -3.8319 5.5002" Properties=species:S:1:pos:R:3 pbc="T T T"
Li 3.8005 0.0000 0.0000
Li 1.9003 -1.9160 2.7501
Li 0.0000 0.0000 0.0000
Li -1.9003 -1.9160 2.7501
Np 3.8005 3.7651 -0.0527
Np 1.9003 1.8492 2.6974
Np -1.9003 1.8492 2.6974
Be 0.0000 3.7651 -0.0527
S -2.1521 1.6183 5.4115
S 0.0000 3.7564 2.8648
S 0.0000 -0.0834 2.7255
S 2.1521 1.6183 5.4115
S 1.6484 2.0800 -0.0166
S 3.8005 3.7817 2.6694
S 3.8005 -0.0581 2.5301
S 5.9526 2.0800 -0.0166
```

Compound: Cu12Se3Br5
Source: Alexandria via LeMat-Bulk
Functional: PBE
Structure: relaxed

Properties
* DOS at the Fermi energy: 0.089 states/eV per atom
* SG: No. 230
* formation energy (no corrections): 0.009 eV/atom
* E: -3.390 eV per atom
* V: 1604 Å³/cell

Structure (extended XYZ):
```
80
Lattice="-1.5668 0.9477 12.6399 -10.4178 -5.2492 -5.1995 10.1572 -7.3306 -2.4930" Properties=species:S:1:pos:R:3 pbc="T T T"
Se -3.8121 -2.1740 7.2185
Se -7.9147 -4.0240 6.8486
Se -2.0527 -8.1631 -0.7178
Se 2.1150 -3.1682 1.5751
Se -0.1339 -1.6595 9.7867
Se -4.5594 -4.7580 0.8670
Se 2.7319 -6.8740 4.0803
Se -1.6936 -9.9725 -4.8394
Se -3.9425 -8.4639 3.3722
Se 0.2252 -3.4689 5.6652
Se 6.0872 -7.6081 -1.9013
Se 1.9847 -9.4581 -2.2711
Br -1.5632 -3.6826 -0.9931
Br -5.2089 -2.6246 -2.5998
Br 0.0000 0.0000 0.0000
Br -1.9224 -1.8732 3.1285
Br 4.2952 -3.1914 5.0734
Br -5.9923 -2.1507 3.7202
Br -4.2003 -6.5674 -3.2545
Br 6.4102 -6.3596 6.6486
Br -3.8773 -5.3189 5.2953
Br 5.7281 -5.7987 2.2202
Br -7.5556 -5.8334 2.7271
Br -0.9137 -5.8160 2.4737
Br -0.7834 0.4739 6.3200
Br 5.0786 -3.6653 -1.2465
Br 2.0498 -6.3131 -0.3480
Br -8.2377 -5.2724 -1.7012
Br -0.1303 -6.2899 -3.8463
Br 2.3728 -5.0647 8.2019
Br 0.0949 -9.7588 1.8189
Br -0.2642 -7.9494 5.9404
Cu -1.9246 -0.6958 8.2877
Cu -2.2452 -5.8545 0.2900
Cu -2.3604 -2.8984 9.1550
Cu -1.7997 -1.8000 5.7377
Cu -1.9202 -8.0972 1.9031
Cu -5.8393 -3.2608 8.2634
Cu -4.2688 -6.7577 -0.6493
Cu -8.1291 -5.8720 -4.2423
Cu -3.8342 -9.0779 0.8222
Cu -5.6467 -3.4854 5.8747
Cu -2.0431 -4.0221 6.6303
Cu -10.1731 -4.6579 5.6702
Cu -1.9941 -7.9654 -3.3348
Cu -4.1709 -2.5145 1.9617
Cu -6.2658 -7.3379 -4.6576
Cu 3.5658 -4.6005 3.0672
Cu 0.6494 -2.4487 -0.3528
Cu -6.7355 -3.5647 1.7225
Cu -8.1952 -5.9659 5.2573
Cu -3.8637 -2.5812 -0.4247
Cu -2.3470 -10.1100 -2.3006
Cu -3.4475 -5.9510 2.7965
Cu -4.3720 -7.8173 5.8799
Cu 4.5229 -7.8233 5.5882
Cu 1.6200 -5.6811 2.1508
Cu 2.5445 -3.8147 -0.9326
Cu -6.3504 -3.8088 -0.6409
Cu 6.3677 -5.6661 -0.3099
Cu 0.5196 -1.5220 7.2480
Cu 2.0362 -9.0509 5.3720
Cu 4.9080 -8.0673 3.2248
Cu -5.3933 -7.0316 1.8802
Cu -2.4769 -9.1833 5.3001
Cu 4.4383 -4.2941 9.6049
Cu 0.1666 -3.6666 8.2821
Cu 8.3456 -6.9741 -0.7228
Cu 2.3434 -9.1175 2.9857
Cu 2.0067 -2.5541 4.1251
Cu 3.8192 -8.1467 -0.9274
Cu 0.2156 -7.6100 -1.6829
Cu 6.3016 -5.7601 9.1897
Cu 2.4414 -4.8743 5.5966
Cu -0.0277 -9.8320 -0.7903
Cu 4.0118 -8.3712 -3.3160
Cu 0.0927 -3.5348 3.0443
Cu 0.5329 -8.7337 -4.2076
Cu 0.4177 -5.7775 4.6573
Cu 0.0971 -10.9362 -3.3404
```

> What is the DOS at the Fermi energy in the fourth record?

0.089 states/eV per atom